Record 1
A plane-wave DFT calculation with PBE was carried out for a relaxed SrGa2I6 crystal.

Values from the calculation:
Its energy relative to the lowest polymorph listed for this composition is 0 meV per atom. For the formation energy (no corrections), the calculation gives -0.895 eV per atom. The calculation puts the magnetic moment at 0.000 μB per atom.

Lattice parameters (Å, degrees): 9.7174 9.7174 9.7174 47.51 47.51 47.51
Sites, in units of the cell vectors:
Sr (0.0000, 0.0000, 0.0000)
Ga (0.6199, 0.6199, 0.6199)
Ga (0.7143, 0.7143, 0.7143)
I (0.0492, 0.7838, 0.4236)
I (0.2547, 0.6103, 0.8805)
I (0.4236, 0.0492, 0.7838)
I (0.6103, 0.8805, 0.2547)
I (0.7838, 0.4236, 0.0492)
I (0.8805, 0.2547, 0.6103)

***

Record 2
A plane-wave DFT calculation with PBE was carried out for a relaxed SrGa2I6 crystal.

Values from the calculation:
Its energy relative to the lowest polymorph listed for this composition is 68 meV per atom. For the formation energy (no corrections), the calculation gives -0.827 eV per atom. The calculation puts the magnetic moment at 0.000 μB per atom.

Lattice parameters (Å, degrees): 10.6610 10.6610 7.6315 97.13 97.13 79.00
Sites, in units of the cell vectors:
Sr (0.0797, 0.9203, 0.7500)
Sr (0.9203, 0.0797, 0.2500)
Ga (0.3497, 0.4996, 0.7445)
Ga (0.4996, 0.3497, 0.2445)
Ga (0.5004, 0.6503, 0.7555)
Ga (0.6503, 0.5004, 0.2555)
I (0.0338, 0.2058, 0.6282)
I (0.1394, 0.6068, 0.8763)
I (0.2058, 0.0338, 0.1282)
I (0.2774, 0.4228, 0.3966)
I (0.3932, 0.8606, 0.6237)
I (0.4228, 0.2774, 0.8966)
I (0.5772, 0.7226, 0.1034)
I (0.6068, 0.1394, 0.3763)
I (0.7226, 0.5772, 0.6034)
I (0.7942, 0.9662, 0.8718)
I (0.8606, 0.3932, 0.1237)
I (0.9662, 0.7942, 0.3718)

***

Record 3
A plane-wave DFT calculation with PBE was carried out for a relaxed Sr2GaI crystal.

Values from the calculation:
Its energy relative to the lowest polymorph listed for this composition is 78 meV per atom. For the formation energy (no corrections), the calculation gives -0.793 eV per atom. The calculation puts the magnetic moment at 0.000 μB per atom.

Lattice parameters (Å, degrees): 9.2289 9.2289 9.2289 27.77 27.77 27.77
Sites, in units of the cell vectors:
Sr (0.2410, 0.2410, 0.2410)
Sr (0.7590, 0.7590, 0.7590)
Ga (0.5000, 0.5000, 0.5000)
I (0.0000, 0.0000, 0.0000)

***

Record 4
A plane-wave DFT calculation with PBE was carried out for a relaxed Sr2GaI crystal.

Values from the calculation:
Its energy relative to the lowest polymorph listed for this composition is 100 meV per atom. For the formation energy (no corrections), the calculation gives -0.771 eV per atom. The calculation puts the magnetic moment at 0.000 μB per atom.

Lattice parameters (Å, degrees): 9.3924 9.3924 9.3924 27.00 27.00 27.00
Sites, in units of the cell vectors:
Sr (0.0000, 0.0000, 0.0000)
Sr (0.1855, 0.1855, 0.1855)
Ga (0.5926, 0.5926, 0.5926)
I (0.7610, 0.7610, 0.7610)

***

Record 5
A plane-wave DFT calculation with PBE was carried out for a relaxed Sr5Ga2I12 crystal.

Values from the calculation:
For the formation energy (no corrections), the calculation gives -1.365 eV per atom. The calculation puts the magnetic moment at 0.000 μB per atom.

Lattice parameters (Å, degrees): 9.9383 9.9383 11.6152 102.28 102.28 53.53
Sites, in units of the cell vectors:
Sr (0.0000, 0.0000, 0.0000)
Sr (0.2554, 0.2554, 0.1207)
Sr (0.2681, 0.2681, 0.5189)
Sr (0.7319, 0.7319, 0.4811)
Sr (0.7446, 0.7446, 0.8793)
Ga (0.2517, 0.7483, 0.5000)
Ga (0.7483, 0.2517, 0.5000)
I (0.0654, 0.5689, 0.3454)
I (0.1078, 0.1078, 0.2886)
I (0.1257, 0.6138, 0.0134)
I (0.3862, 0.8743, 0.9866)
I (0.4311, 0.9346, 0.6546)
I (0.4524, 0.4524, 0.6541)
I (0.5476, 0.5476, 0.3459)
I (0.5689, 0.0654, 0.3454)
I (0.6138, 0.1257, 0.0134)
I (0.8743, 0.3862, 0.9866)
I (0.8922, 0.8922, 0.7114)
I (0.9346, 0.4311, 0.6546)

***

Record 6
A plane-wave DFT calculation with PBE was carried out for a relaxed Sr4Ga2I5 crystal.

Values from the calculation:
For the formation energy (no corrections), the calculation gives -1.143 eV per atom. The calculation puts the magnetic moment at 0.071 μB per atom.

Lattice parameters (Å, degrees): 12.8213 12.8213 9.3402 94.90 94.90 20.88
Sites, in units of the cell vectors:
Sr (0.0206, 0.0206, 0.2370)
Sr (0.3253, 0.3253, 0.9153)
Sr (0.6747, 0.6747, 0.0847)
Sr (0.9794, 0.9794, 0.7630)
Ga (0.4542, 0.4542, 0.0145)
Ga (0.5458, 0.5458, 0.9855)
I (0.1513, 0.1513, 0.3235)
I (0.1937, 0.1937, 0.8425)
I (0.5000, 0.5000, 0.5000)
I (0.8063, 0.8063, 0.1575)
I (0.8487, 0.8487, 0.6765)